{
  "formula": "NaAcPmRu",
  "functional": "GGA-PBE",
  "state": "optimized geometry",
  "volume_a3_per_cell": 106,
  "dft_energy_ev_per_fu": -19.0,
  "ef_ev_per_fu": 0.46,
  "lattice": [[0.0000, 3.7575, 3.7575], [3.7575, 0.0000, 3.7575], [3.7575, 3.7575, 0.0000]],
  "species": ["Na", "Ac", "Pm", "Ru"],
  "fractional_positions": [[0.0000, 0.0000, 0.0000], [0.2500, 0.2500, 0.2500], [0.7500, 0.7500, 0.7500], [0.5000, 0.5000, 0.5000]]
}